1.
The following is a DFT calculation (PBE) of La2Ce3Si4 after structural relaxation.

Cell: 8.879 8.879 8.311 Å, 90.00 90.00 133.66°
Sites, in units of the cell vectors:
La 0.107 0.893 0.923
La 0.393 0.607 0.423
La 0.607 0.393 0.577
La 0.893 0.107 0.077
Ce 0.000 0.000 0.500
Ce 0.042 0.458 0.750
Ce 0.458 0.042 0.250
Ce 0.500 0.500 0.000
Ce 0.542 0.958 0.750
Ce 0.958 0.542 0.250
Si 0.186 0.814 0.551
Si 0.218 0.282 0.750
Si 0.282 0.218 0.250
Si 0.314 0.686 0.051
Si 0.686 0.314 0.949
Si 0.718 0.782 0.750
Si 0.782 0.718 0.250
Si 0.814 0.186 0.449

Summary:
**Space-group type**: Cmce, No. 64
**Distance to the lowest polymorph of the same formula**: 16.93 kJ per mole of atoms
**Total magnetic moment**: 3.36 μB/cell
**ΔE_f (raw)**: -0.474 eV per atom



2.
The following is a DFT calculation (PBE) of La2CeSi after structural relaxation.

Cell: 4.793 4.793 4.717 Å, 90.00 90.00 90.00°
Sites, in units of the cell vectors:
La 0.000 0.500 0.000
La 0.500 0.000 0.000
Ce 0.000 0.000 0.500
Si 0.500 0.500 0.500

Summary:
**Space-group type**: P4/mmm, No. 123
**Distance to the lowest polymorph of the same formula**: 0.00 kJ per mole of atoms
**Total magnetic moment**: 0.66 μB/cell
**ΔE_f (raw)**: -0.267 eV per atom



3.
The following is a DFT calculation (PBE) of LaCeZnSi after structural relaxation.

Cell: 7.313 7.313 7.313 Å, 90.00 90.00 90.00°
Sites, in units of the cell vectors:
La 0.000 0.000 0.000
La 0.000 0.500 0.500
La 0.500 0.000 0.500
La 0.500 0.500 0.000
Ce 0.000 0.000 0.500
Ce 0.000 0.500 0.000
Ce 0.500 0.000 0.000
Ce 0.500 0.500 0.500
Zn 0.250 0.250 0.250
Zn 0.250 0.750 0.750
Zn 0.750 0.250 0.750
Zn 0.750 0.750 0.250
Si 0.250 0.250 0.750
Si 0.250 0.750 0.250
Si 0.750 0.250 0.250
Si 0.750 0.750 0.750

Summary:
**Space-group type**: F-43m, No. 216
**Total magnetic moment**: 3.02 μB/cell
**ΔE_f (raw)**: -0.388 eV per atom



4.
The following is a DFT calculation (PBE) of La10CeSm4 after structural relaxation.

Cell: 8.853 8.853 8.853 Å, 111.45 111.45 105.58°
Sites, in units of the cell vectors:
La 0.041 0.363 0.091
La 0.050 0.959 0.322
La 0.250 0.750 0.500
La 0.272 0.950 0.909
La 0.363 0.272 0.322
La 0.637 0.728 0.678
La 0.728 0.050 0.091
La 0.750 0.250 0.500
La 0.950 0.041 0.678
La 0.959 0.637 0.909
Ce 0.500 0.500 0.000
Sm 0.176 0.448 0.623
Sm 0.448 0.824 0.272
Sm 0.552 0.176 0.728
Sm 0.824 0.552 0.377

Summary:
**Space-group type**: I4/m, No. 87
**Energy of formation**: 0.2652 eV per atom
**Total magnetic moment**: 1.21 μB/cell